1.
ScCo3Pb at its PBEsol-relaxed geometry. Source: the Alexandria database, functional meta-GGA SCAN.

Cell: 4.655 4.655 4.655 Å, 90.00 90.00 90.00°
Last column: magnetic moment on the atom in μB.
Positions (direct):
Co 0.000 0.000 0.500  1.70
Sc 0.500 0.500 0.500  -0.46
Co 0.500 0.000 0.000  1.70
Co 0.000 0.500 0.000  1.70
Pb 0.000 0.000 0.000  -0.03

* formation enthalpy at 0 K: 1154 meV/atom
* crystal system: cubic
* E: -136.16 eV/f.u.
* ρ: 7061 kg/m3



2.
MnCdCoW2 at its PBEsol-relaxed geometry. Source: the Alexandria database, functional meta-GGA SCAN.

Cell: 4.407 4.407 4.663 Å, 90.00 90.00 90.00°
Last column: magnetic moment on the atom in μB.
Positions (direct):
Mn 0.500 0.500 0.500  4.27
W 0.000 0.500 0.000  -0.57
Co 0.000 0.000 0.000  -0.08
Cd 0.000 0.000 0.500  0.00
W 0.500 0.000 0.000  -0.57

* formation enthalpy at 0 K: 1328 meV/atom
* crystal system: tetragonal
* E: -198.71 eV/f.u.
* ρ: 10893 kg/m3



3.
TlSiGe2 at its PBEsol-relaxed geometry. Source: the Alexandria database, functional meta-GGA SCAN.

Cell: 4.839 4.839 4.839 Å, 60.00 60.00 60.00°
Positions (direct):
Ge 0.250 0.250 0.250
Si 0.000 0.000 0.000
Tl 0.500 0.500 0.500
Ge 0.750 0.750 0.750

* crystal system: cubic
* ΔE_f (raw): 0.62 eV per atom
* E: -118.05 eV/f.u.
* ρ: 7831 kg/m3



4.
La2AuCl at its PBEsol-relaxed geometry. Source: the Alexandria database, functional meta-GGA SCAN.

Cell: 5.123 5.123 5.123 Å, 60.00 60.00 60.00°
Positions (direct):
La 0.000 0.000 0.000
Au 0.500 0.500 0.500
Cl 0.250 0.250 0.250
La 0.750 0.750 0.750

* energy above the most stable polymorph in this dataset: 990 meV/atom
* crystal system: cubic
* ΔE_f (raw): -0.48 eV per atom
* E: -165.27 eV/f.u.
* ρ: 8912 kg/m3



5.
Tc2NiPb at its PBEsol-relaxed geometry. Source: the Alexandria database, functional meta-GGA SCAN.

Cell: 3.087 4.290 4.692 Å, 101.95 90.00 90.00°
Positions (direct):
Tc 0.500 0.500 0.000
Pb 0.000 0.500 0.500
Ni 0.500 0.000 0.500
Tc 0.000 0.000 0.000

* formation enthalpy at 0 K: 595 meV/atom
* crystal system: monoclinic
* E: -159.69 eV/f.u.
* ρ: 12615 kg/m3



6.
Cs2RbHg2 at its PBEsol-relaxed geometry. Source: the Alexandria database, functional meta-GGA SCAN.

Cell: 4.280 10.564 10.564 Å, 90.00 90.00 90.00°
Positions (direct):
Rb 0.000 0.000 0.000
Hg 0.500 0.343 0.157
Cs 0.000 0.863 0.637
Cs 0.000 0.637 0.137
Cs 0.000 0.363 0.863
Hg 0.500 0.157 0.657
Hg 0.500 0.843 0.343
Cs 0.000 0.137 0.363
Rb 0.000 0.500 0.500
Hg 0.500 0.657 0.843

* formation enthalpy at 0 K: -160 meV/atom
* energy above the most stable polymorph in this dataset: 22 meV/atom
* crystal system: tetragonal
* E: -233.49 eV/f.u.
* ρ: 5232 kg/m3



7.
BaTa2Au at its PBEsol-relaxed geometry. Source: the Alexandria database, functional meta-GGA SCAN.

Cell: 3.028 3.028 10.944 Å, 82.05 82.05 60.00°
Positions (direct):
Au 0.500 0.500 0.500
Ba 0.000 0.000 0.000
Ta 0.763 0.763 0.711
Ta 0.237 0.237 0.289

* formation enthalpy at 0 K: 868 meV/atom
* energy above the most stable polymorph in this dataset: 490 meV/atom
* crystal system: trigonal
* E: -238.40 eV/f.u.
* ρ: 13479 kg/m3



8.
InAg2Pt at its PBEsol-relaxed geometry. Source: the Alexandria database, functional meta-GGA SCAN.

Cell: 3.940 3.940 5.180 Å, 112.35 112.35 90.00°
Positions (direct):
Ag 0.250 0.750 0.500
In 0.500 0.500 0.000
Pt 0.000 0.000 0.000
Ag 0.750 0.250 0.500

* formation enthalpy at 0 K: -174 meV/atom
* crystal system: tetragonal
* E: -167.01 eV/f.u.
* ρ: 12879 kg/m3